Entry 1:
# Tb6PrY5 | Alexandria via LeMat-Bulk | GGA-PBE | relaxed
data_Tb6PrY5
_cell_length_a 6.1969
_cell_length_b 10.7253
_cell_length_c 11.8656
_cell_angle_alpha 90.00
_cell_angle_beta 99.97
_cell_angle_gamma 90.00
_symmetry_space_group_name_H-M 'C 1 2/m 1'
_symmetry_Int_Tables_number 12
loop_
_symmetry_equiv_pos_as_xyz
'x,y,z'
'-x,-y,-z'
'-x,y,-z'
'x,-y,z'
'x+1/2,y+1/2,z'
'-x+1/2,-y+1/2,-z'
'-x+1/2,y+1/2,-z'
'x+1/2,-y+1/2,z'
loop_
_atom_site_label
_atom_site_fract_x
_atom_site_fract_y
_atom_site_fract_z
Tb1 0.2494 0.1667 0.2484
Tb2 0.2502 0.0000 0.7515
Pr1 0.0000 0.5000 0.5000
Y1 0.0000 0.0000 0.0000
Y2 0.0000 0.1666 0.5000
Y3 0.0000 0.3329 0.0000
# - Total moment: 0.000 μB/atom
# - Final energy: -0.1980 hartree per atom
# - ΔH_f (0 K): 0.02 eV per atom
# - Theoretical density: 6.6 g cm⁻³
# - N(E_F): 32.2 states/eV per cell


Entry 2:
# SrTh2PtN4 | Alexandria via LeMat-Bulk | GGA-PBE | relaxed
data_SrTh2PtN4
_cell_length_a 3.6316
_cell_length_b 12.2480
_cell_length_c 12.4138
_cell_angle_alpha 90.00
_cell_angle_beta 90.00
_cell_angle_gamma 90.00
_symmetry_space_group_name_H-M 'C m c m'
_symmetry_Int_Tables_number 63
_symmetry_space_group_name_Hall '-C 2c 2'
loop_
_atom_site_label
_atom_site_fract_x
_atom_site_fract_y
_atom_site_fract_z
Sr1 0.0000 0.1058 0.2500
Th1 0.0000 0.3691 0.0537
Pt1 0.0000 0.1591 0.7500
N1 0.0000 0.0000 0.0000
N2 0.0000 0.2621 0.6048
N3 0.0000 0.4380 0.2500
# - Total moment: 0.000 μB/atom
# - Final energy: -0.2899 hartree per atom
# - Theoretical density: 9.7 g cm⁻³
# - N(E_F): 23.8 states/eV per cell


Entry 3:
# Cd2SbMo | Alexandria via LeMat-Bulk | GGA-PBE | relaxed
data_Cd2SbMo
_cell_length_a 2.9997
_cell_length_b 5.3170
_cell_length_c 5.4158
_cell_angle_alpha 90.00
_cell_angle_beta 104.15
_cell_angle_gamma 90.00
_symmetry_space_group_name_H-M 'P 1 2/m 1'
_symmetry_Int_Tables_number 10
loop_
_symmetry_equiv_pos_as_xyz
'x,y,z'
'-x,-y,-z'
'-x,y,-z'
'x,-y,z'
loop_
_atom_site_label
_atom_site_fract_x
_atom_site_fract_y
_atom_site_fract_z
Cd1 0.1844 0.0000 0.2661
Sb1 0.5000 0.5000 0.0000
Mo1 0.0000 0.5000 0.5000
# - Total moment: 0.000 μB/atom
# - Final energy: -0.1372 hartree per atom
# - Theoretical density: 8.8 g cm⁻³
# - N(E_F): 2.3 states/eV per cell


Entry 4:
# NaBi2S3 | Alexandria via LeMat-Bulk | GGA-PBE | relaxed
data_NaBi2S3
_cell_length_a 12.7671
_cell_length_b 6.0373
_cell_length_c 8.2379
_cell_angle_alpha 90.00
_cell_angle_beta 108.04
_cell_angle_gamma 90.00
_symmetry_space_group_name_H-M 'C 1 2/c 1'
_symmetry_Int_Tables_number 15
loop_
_symmetry_equiv_pos_as_xyz
'x,y,z'
'-x,-y,-z'
'-x,y,-z+1/2'
'x,-y,z+1/2'
'x+1/2,y+1/2,z'
'-x+1/2,-y+1/2,-z'
'-x+1/2,y+1/2,-z+1/2'
'x+1/2,-y+1/2,z+1/2'
loop_
_atom_site_label
_atom_site_fract_x
_atom_site_fract_y
_atom_site_fract_z
Na1 0.0000 0.0020 0.2500
Bi1 0.1693 0.4831 0.5758
S1 0.0000 0.4949 0.7500
S2 0.1751 0.0448 0.0899
# - Total moment: 0.000 μB/atom
# - Final energy: -0.1507 hartree per atom
# - Theoretical density: 5.9 g cm⁻³
# - N(E_F): 3.5 states/eV per cell
# - ΔE to the lowest computed polymorph: 0 meV per atom


Entry 5:
# CaTl2Ir | Alexandria via LeMat-Bulk | GGA-PBE | relaxed
data_CaTl2Ir
_cell_length_a 6.2397
_cell_length_b 10.4979
_cell_length_c 3.4017
_cell_angle_alpha 90.00
_cell_angle_beta 121.92
_cell_angle_gamma 90.00
_symmetry_space_group_name_H-M 'C 1 2/m 1'
_symmetry_Int_Tables_number 12
loop_
_symmetry_equiv_pos_as_xyz
'x,y,z'
'-x,-y,-z'
'-x,y,-z'
'x,-y,z'
'x+1/2,y+1/2,z'
'-x+1/2,-y+1/2,-z'
'-x+1/2,y+1/2,-z'
'x+1/2,-y+1/2,z'
loop_
_atom_site_label
_atom_site_fract_x
_atom_site_fract_y
_atom_site_fract_z
Ca1 0.0000 0.0000 0.0000
Tl1 0.2500 0.2500 0.5000
Ir1 0.0000 0.5000 0.0000
# - Total moment: 0.000 μB/atom
# - Final energy: -0.1347 hartree per atom
# - ΔH_f (0 K): 0.23 eV per atom
# - Theoretical density: 11.3 g cm⁻³
# - N(E_F): 6.5 states/eV per cell


Entry 6:
# InH3N | Alexandria via LeMat-Bulk | GGA-PBE | relaxed
data_InH3N
_cell_length_a 3.9059
_cell_length_b 3.9059
_cell_length_c 3.9059
_cell_angle_alpha 90.00
_cell_angle_beta 90.00
_cell_angle_gamma 90.00
_symmetry_space_group_name_H-M 'P m -3 m'
_symmetry_Int_Tables_number 221
_symmetry_space_group_name_Hall '-P 4 2 3'
loop_
_atom_site_label
_atom_site_fract_x
_atom_site_fract_y
_atom_site_fract_z
In1 0.0000 0.0000 0.0000
H1 0.0000 0.0000 0.5000
N1 0.5000 0.5000 0.5000
# - Total moment: 0.599 μB/atom
# - Final energy: -0.1077 hartree per atom
# - Theoretical density: 3.7 g cm⁻³
# - N(E_F): 0.5 states/eV per cell
# - ΔE to the lowest computed polymorph: 180 meV per atom


Entry 7:
# Ac6La2Pm3 | Alexandria via LeMat-Bulk | GGA-PBE | relaxed
data_Ac6La2Pm3
_cell_length_a 6.6773
_cell_length_b 11.5798
_cell_length_c 12.3610
_cell_angle_alpha 90.00
_cell_angle_beta 100.45
_cell_angle_gamma 90.00
_symmetry_space_group_name_H-M 'C 1 2/m 1'
_symmetry_Int_Tables_number 12
loop_
_symmetry_equiv_pos_as_xyz
'x,y,z'
'-x,-y,-z'
'-x,y,-z'
'x,-y,z'
'x+1/2,y+1/2,z'
'-x+1/2,-y+1/2,-z'
'-x+1/2,y+1/2,-z'
'x+1/2,-y+1/2,z'
loop_
_atom_site_label
_atom_site_fract_x
_atom_site_fract_y
_atom_site_fract_z
Ac1 0.2504 0.0000 0.2497
Ac2 0.2501 0.1665 0.7499
La1 0.0000 0.1663 0.0000
Pm1 0.0000 0.0000 0.5000
Pm2 0.0000 0.3343 0.5000
# - Total moment: 0.000 μB/atom
# - Final energy: -0.1565 hartree per atom
# - ΔH_f (0 K): 0.17 eV per atom
# - Theoretical density: 7.3 g cm⁻³
# - N(E_F): 35.2 states/eV per cell


Entry 8:
# Tl2CoHg | Alexandria via LeMat-Bulk | GGA-PBE | relaxed
data_Tl2CoHg
_cell_length_a 3.1550
_cell_length_b 4.2809
_cell_length_c 13.9674
_cell_angle_alpha 90.00
_cell_angle_beta 90.00
_cell_angle_gamma 90.00
_symmetry_space_group_name_H-M 'A m m 2'
_symmetry_Int_Tables_number 38
loop_
_symmetry_equiv_pos_as_xyz
'x,y,z'
'-x,-y,z'
'-x,y,z'
'x,-y,z'
'x,y+1/2,z+1/2'
'-x,-y+1/2,z+1/2'
'-x,y+1/2,z+1/2'
'x,-y+1/2,z+1/2'
loop_
_atom_site_label
_atom_site_fract_x
_atom_site_fract_y
_atom_site_fract_z
Tl1 0.0000 0.0000 0.0000
Tl2 0.5000 0.0000 0.3198
Co1 0.0000 0.0000 0.8064
Hg1 0.5000 0.0000 0.6438
# - Total moment: 0.146 μB/atom
# - Final energy: -0.1002 hartree per atom
# - ΔH_f (0 K): 0.31 eV per atom
# - Theoretical density: 11.8 g cm⁻³
# - N(E_F): 6.7 states/eV per cell
# - ΔE to the lowest computed polymorph: 0 meV per atom


Entry 9:
# TbDy2ScSb4 | Alexandria via LeMat-Bulk | GGA-PBE | relaxed
data_TbDy2ScSb4
_cell_length_a 7.5127
_cell_length_b 4.3417
_cell_length_c 7.5143
_cell_angle_alpha 90.00
_cell_angle_beta 109.48
_cell_angle_gamma 90.00
_symmetry_space_group_name_H-M 'P 1 2/m 1'
_symmetry_Int_Tables_number 10
loop_
_symmetry_equiv_pos_as_xyz
'x,y,z'
'-x,-y,-z'
'-x,y,-z'
'x,-y,z'
loop_
_atom_site_label
_atom_site_fract_x
_atom_site_fract_y
_atom_site_fract_z
Tb1 0.0000 0.0000 0.0000
Dy1 0.0000 0.5000 0.5000
Dy2 0.5000 0.0000 0.5000
Sc1 0.5000 0.5000 0.0000
Sb1 0.2556 0.5000 0.2460
Sb2 0.2601 0.0000 0.7593
# - Total moment: 0.000 μB/atom
# - Final energy: -0.2079 hartree per atom
# - Theoretical density: 7.3 g cm⁻³
# - N(E_F): 1.2 states/eV per cell


Entry 10:
# Sr3Mn | Alexandria via LeMat-Bulk | GGA-PBE | relaxed
data_Sr3Mn
_cell_length_a 4.0575
_cell_length_b 4.0575
_cell_length_c 10.0620
_cell_angle_alpha 90.00
_cell_angle_beta 90.00
_cell_angle_gamma 90.00
_symmetry_space_group_name_H-M 'P 4/m m m'
_symmetry_Int_Tables_number 123
_symmetry_space_group_name_Hall '-P 4 2'
loop_
_atom_site_label
_atom_site_fract_x
_atom_site_fract_y
_atom_site_fract_z
Sr1 0.0000 0.0000 0.0000
Sr2 0.5000 0.5000 0.3125
Mn1 0.0000 0.0000 0.5000
# - Total moment: 0.886 μB/atom
# - Final energy: -0.1191 hartree per atom
# - ΔH_f (0 K): 0.31 eV per atom
# - Theoretical density: 3.2 g cm⁻³
# - N(E_F): 4.8 states/eV per cell


Entry 11:
# Cd2CuRe | Alexandria via LeMat-Bulk | GGA-PBE | relaxed
data_Cd2CuRe
_cell_length_a 4.8610
_cell_length_b 4.8610
_cell_length_c 2.8955
_cell_angle_alpha 90.00
_cell_angle_beta 90.00
_cell_angle_gamma 90.00
_symmetry_space_group_name_H-M 'P 4/m m m'
_symmetry_Int_Tables_number 123
_symmetry_space_group_name_Hall '-P 4 2'
loop_
_atom_site_label
_atom_site_fract_x
_atom_site_fract_y
_atom_site_fract_z
Cd1 0.0000 0.5000 0.0000
Cu1 0.0000 0.0000 0.5000
Re1 0.5000 0.5000 0.5000
# - Total moment: 0.000 μB/atom
# - Final energy: -0.1475 hartree per atom
# - ΔH_f (0 K): 0.58 eV per atom
# - Theoretical density: 11.5 g cm⁻³
# - N(E_F): 1.5 states/eV per cell
# - ΔE to the lowest computed polymorph: 186 meV per atom


Entry 12:
# Na2CaZrCr | Alexandria via LeMat-Bulk | GGA-PBE | relaxed
data_Na2CaZrCr
_cell_length_a 5.5980
_cell_length_b 5.5980
_cell_length_c 4.8472
_cell_angle_alpha 90.00
_cell_angle_beta 90.00
_cell_angle_gamma 90.00
_symmetry_space_group_name_H-M 'P 4/m m m'
_symmetry_Int_Tables_number 123
_symmetry_space_group_name_Hall '-P 4 2'
loop_
_atom_site_label
_atom_site_fract_x
_atom_site_fract_y
_atom_site_fract_z
Na1 0.0000 0.5000 0.0000
Ca1 0.0000 0.0000 0.5000
Zr1 0.5000 0.5000 0.5000
Cr1 0.5000 0.5000 0.0000
# - Total moment: 0.426 μB/atom
# - Final energy: -0.1380 hartree per atom
# - ΔH_f (0 K): 0.81 eV per atom
# - Theoretical density: 2.5 g cm⁻³
# - N(E_F): 4.5 states/eV per cell


Entry 13:
# Os2RuAu | Alexandria via LeMat-Bulk | GGA-PBE | relaxed
data_Os2RuAu
_cell_length_a 6.2735
_cell_length_b 6.2735
_cell_length_c 6.2735
_cell_angle_alpha 90.00
_cell_angle_beta 90.00
_cell_angle_gamma 90.00
_symmetry_space_group_name_H-M 'F -4 3 m'
_symmetry_Int_Tables_number 216
_symmetry_space_group_name_Hall 'F -4 2 3'
loop_
_atom_site_label
_atom_site_fract_x
_atom_site_fract_y
_atom_site_fract_z
Os1 0.0000 0.0000 0.0000
Os2 0.2500 0.2500 0.2500
Ru1 0.0000 0.0000 0.5000
Au1 0.2500 0.2500 0.7500
# - Total moment: 0.484 μB/atom
# - Final energy: -0.2911 hartree per atom
# - ΔH_f (0 K): 0.83 eV per atom
# - Theoretical density: 18.3 g cm⁻³
# - N(E_F): 21.8 states/eV per cell
# - ΔE to the lowest computed polymorph: 552 meV per atom


Entry 14:
# ScHg3B | Alexandria via LeMat-Bulk | GGA-PBE | relaxed
data_ScHg3B
_cell_length_a 4.6717
_cell_length_b 4.6717
_cell_length_c 4.6717
_cell_angle_alpha 90.00
_cell_angle_beta 90.00
_cell_angle_gamma 90.00
_symmetry_space_group_name_H-M 'P m -3 m'
_symmetry_Int_Tables_number 221
_symmetry_space_group_name_Hall '-P 4 2 3'
loop_
_atom_site_label
_atom_site_fract_x
_atom_site_fract_y
_atom_site_fract_z
Sc1 0.0000 0.0000 0.0000
Hg1 0.0000 0.5000 0.5000
B1 0.5000 0.5000 0.5000
# - Total moment: 0.000 μB/atom
# - Final energy: -0.0845 hartree per atom
# - ΔH_f (0 K): 0.48 eV per atom
# - Theoretical density: 10.7 g cm⁻³
# - N(E_F): 3.5 states/eV per cell
# - ΔE to the lowest computed polymorph: 0 meV per atom


Entry 15:
# BaTa2Br | Alexandria via LeMat-Bulk | GGA-PBE | relaxed
data_BaTa2Br
_cell_length_a 3.4845
_cell_length_b 3.6534
_cell_length_c 16.8715
_cell_angle_alpha 90.00
_cell_angle_beta 90.00
_cell_angle_gamma 90.00
_symmetry_space_group_name_H-M 'A m m 2'
_symmetry_Int_Tables_number 38
loop_
_symmetry_equiv_pos_as_xyz
'x,y,z'
'-x,-y,z'
'-x,y,z'
'x,-y,z'
'x,y+1/2,z+1/2'
'-x,-y+1/2,z+1/2'
'-x,y+1/2,z+1/2'
'x,-y+1/2,z+1/2'
loop_
_atom_site_label
_atom_site_fract_x
_atom_site_fract_y
_atom_site_fract_z
Ba1 0.0000 0.0000 0.0000
Ta1 0.0000 0.0000 0.2199
Ta2 0.5000 0.0000 0.6534
Br1 0.5000 0.0000 0.3584
# - Total moment: 0.000 μB/atom
# - Final energy: -0.2460 hartree per atom
# - Theoretical density: 9.0 g cm⁻³
# - N(E_F): 8.9 states/eV per cell
# - ΔE to the lowest computed polymorph: 0 meV per atom


Entry 16:
# LiCuNi2 | Alexandria via LeMat-Bulk | GGA-PBE | relaxed
data_LiCuNi2
_cell_length_a 2.5023
_cell_length_b 2.5023
_cell_length_c 25.1444
_cell_angle_alpha 90.00
_cell_angle_beta 90.00
_cell_angle_gamma 120.00
_symmetry_space_group_name_H-M 'R 3 m'
_symmetry_Int_Tables_number 160
_symmetry_space_group_name_Hall 'R 3 -2"'
loop_
_atom_site_label
_atom_site_fract_x
_atom_site_fract_y
_atom_site_fract_z
Li1 0.0000 0.0000 0.0000
Cu1 0.0000 0.0000 0.8334
Ni1 0.0000 0.0000 0.4171
Ni2 0.0000 0.0000 0.5828
# - Total moment: 0.074 μB/atom
# - Final energy: -0.1613 hartree per atom
# - ΔH_f (0 K): 0.00 eV per atom
# - Theoretical density: 6.9 g cm⁻³
# - N(E_F): 7.6 states/eV per cell


Entry 17:
# V2Fe2Si | Alexandria via LeMat-Bulk | GGA-PBE | relaxed
data_V2Fe2Si
_cell_length_a 6.8198
_cell_length_b 6.8198
_cell_length_c 2.7158
_cell_angle_alpha 90.00
_cell_angle_beta 90.00
_cell_angle_gamma 90.00
_symmetry_space_group_name_H-M 'P 4/m b m'
_symmetry_Int_Tables_number 127
_symmetry_space_group_name_Hall '-P 4 2ab'
loop_
_atom_site_label
_atom_site_fract_x
_atom_site_fract_y
_atom_site_fract_z
V1 0.1528 0.3472 0.0000
Fe1 0.1396 0.6396 0.5000
Si1 0.0000 0.0000 0.0000
# - Total moment: 0.000 μB/atom
# - Final energy: -0.2927 hartree per atom
# - Theoretical density: 6.4 g cm⁻³
# - N(E_F): 6.5 states/eV per cell
# - ΔE to the lowest computed polymorph: 252 meV per atom


Entry 18:
# Ac2PdN | Alexandria via LeMat-Bulk | GGA-PBE | relaxed
data_Ac2PdN
_cell_length_a 3.4981
_cell_length_b 3.4981
_cell_length_c 7.3310
_cell_angle_alpha 90.00
_cell_angle_beta 90.00
_cell_angle_gamma 90.00
_symmetry_space_group_name_H-M 'P 4/m m m'
_symmetry_Int_Tables_number 123
_symmetry_space_group_name_Hall '-P 4 2'
loop_
_atom_site_label
_atom_site_fract_x
_atom_site_fract_y
_atom_site_fract_z
Ac1 0.0000 0.0000 0.2170
Pd1 0.5000 0.5000 0.5000
N1 0.5000 0.5000 0.0000
# - Total moment: 0.000 μB/atom
# - Final energy: -0.2167 hartree per atom
# - Theoretical density: 10.6 g cm⁻³
# - N(E_F): 2.2 states/eV per cell
# - ΔE to the lowest computed polymorph: 318 meV per atom


Entry 19:
# IrOsAu | Alexandria via LeMat-Bulk | GGA-PBE | relaxed
data_IrOsAu
_cell_length_a 2.7812
_cell_length_b 2.7812
_cell_length_c 6.9522
_cell_angle_alpha 90.00
_cell_angle_beta 90.00
_cell_angle_gamma 120.00
_symmetry_space_group_name_H-M 'P 3 m 1'
_symmetry_Int_Tables_number 156
loop_
_symmetry_equiv_pos_as_xyz
'x,y,z'
'-y,x-y,z'
'-x+y,-x,z'
'-y,-x,z'
'-x+y,y,z'
'x,x-y,z'
loop_
_atom_site_label
_atom_site_fract_x
_atom_site_fract_y
_atom_site_fract_z
Ir1 0.0000 0.0000 0.0000
Os1 0.3333 0.6667 0.3021
Au1 0.6667 0.3333 0.6485
# - Total moment: 0.000 μB/atom
# - Final energy: -0.2758 hartree per atom
# - ΔH_f (0 K): 0.28 eV per atom
# - Theoretical density: 20.7 g cm⁻³
# - N(E_F): 2.7 states/eV per cell
# - ΔE to the lowest computed polymorph: 2 meV per atom


Entry 20:
# EuYAgPb | Alexandria via LeMat-Bulk | GGA-PBE | relaxed
data_EuYAgPb
_cell_length_a 7.6430
_cell_length_b 7.6430
_cell_length_c 7.6430
_cell_angle_alpha 90.00
_cell_angle_beta 90.00
_cell_angle_gamma 90.00
_symmetry_space_group_name_H-M 'F -4 3 m'
_symmetry_Int_Tables_number 216
_symmetry_space_group_name_Hall 'F -4 2 3'
loop_
_atom_site_label
_atom_site_fract_x
_atom_site_fract_y
_atom_site_fract_z
Eu1 0.0000 0.0000 0.0000
Y1 0.0000 0.0000 0.5000
Ag1 0.2500 0.2500 0.2500
Pb1 0.2500 0.2500 0.7500
# - Total moment: 1.811 μB/atom
# - Final energy: -0.2302 hartree per atom
# - ΔH_f (0 K): -0.44 eV per atom
# - Theoretical density: 8.3 g cm⁻³
# - N(E_F): 35.3 states/eV per cell